Tl2CdReO6 | GGA-PBE | optimized geometry

Calculated values
As for the space group: P-3m1 (164). The total magnetization comes out at 0.00 μB per formula unit. For the uncorrected formation energy, the calculation gives -968 meV per atom.

abc: 6.434 6.434 5.883
angles: 90.00 90.00 120.00
Fractional coordinates of all 10 atoms:
Tl 0.333 0.667 0.481
Tl 0.667 0.333 0.519
Cd 0.000 0.000 0.000
Re 0.000 0.000 0.500
O 0.138 0.276 0.306
O 0.138 0.862 0.306
O 0.276 0.138 0.694
O 0.724 0.862 0.306
O 0.862 0.138 0.694
O 0.862 0.724 0.694